Material: InPtRhS2
Method: DFT, meta-GGA SCAN
State: single point on PBEsol structure

The total energy is -153.8 eV/cell. Its total magnetization is 1.22 μB/cell. For the density of states at the Fermi level, the calculation gives 5.54 states/eV per cell.

The space group is P4/mmm (No. 123) and the conventional cell measures 4.539, 4.539 and 4.989 Å, with angles of 90.00, 90.00 and 90.00 degrees. Symmetry generates all atoms from In at (0.000, 0.000, 0.000), Pt at (0.500, 0.500, 0.500), Rh at (0.500, 0.500, 0.000) and S at (0.000, 0.500, 0.500).

Material: K2BeFe
Method: DFT, meta-GGA SCAN
State: single point on PBEsol structure

Its energy relative to the elements is 1.200 eV per atom. The total energy is -68.7 eV/cell. Its total magnetization is 4.68 μB/cell. For the density of states at the Fermi level, the calculation gives 3.25 states/eV per cell.

The space group is I4/mmm (No. 139) and the conventional cell measures 4.202, 4.202 and 10.684 Å, with angles of 90.00, 90.00 and 90.00 degrees. Symmetry generates all atoms from K at (0.000, 0.500, 0.250), Be at (0.000, 0.000, 0.000) and Fe at (0.000, 0.000, 0.500).

Material: Li5Pb
Method: DFT, meta-GGA SCAN
State: single point on PBEsol structure

Its energy relative to the elements is -0.195 eV per atom. The total energy is -88.9 eV/cell. Its total magnetization is 0.42 μB/cell. For the density of states at the Fermi level, the calculation gives 2.74 states/eV per cell. The relative energy among the computed polymorphs comes out at 123 meV/atom.

The space group is P4/mmm (No. 123) and the conventional cell measures 3.527, 3.527 and 9.732 Å, with angles of 90.00, 90.00 and 90.00 degrees. Symmetry generates all atoms from Li at (0.000, 0.000, 0.000), Li at (0.000, 0.000, 0.340), Li at (0.500, 0.500, 0.178) and Pb at (0.500, 0.500, 0.500).